Entry 1:
Pr2Ge3Pd9 PBE relaxed; uncorrected energy = -5.718 eV/atom; energy relative to the elements = -708 meV/atom; DOS(E_F) = 14.852 states/eV per cell
1.0
-3.0720 5.5022 4.7149
-2.8421 -1.0628 -7.2618
-3.0187 -9.4550 2.5380
Pr Ge Pd
4 6 18
direct
0.3372 0.2424 0.7517
0.6628 0.7576 0.2483
0.9907 0.5856 0.7483
0.0093 0.4144 0.2517
0.5000 0.0000 0.0000
0.5000 0.5000 0.5000
0.8479 0.1758 0.4998
0.1521 0.8242 0.5002
0.1760 0.3481 0.0002
0.8240 0.6519 0.9998
0.4612 0.9227 0.7466
0.5388 0.0773 0.2534
0.6761 0.7146 0.7534
0.3239 0.2854 0.2466
0.4377 0.6324 0.9202
0.5623 0.3676 0.0798
0.2122 0.5175 0.5798
0.7878 0.4825 0.4202
0.8809 0.1309 0.7500
0.1191 0.8691 0.2500
0.1455 0.9903 0.9591
0.8545 0.0097 0.0409
0.5311 0.1864 0.5409
0.4689 0.8136 0.4591
0.8860 0.8599 0.5722
0.1140 0.1401 0.4278
0.7877 0.3138 0.9278
0.2123 0.6862 0.0722

Entry 2:
La5Sm2Dy4 PBE relaxed; uncorrected energy = -4.602 eV/atom; ΔE to the lowest computed polymorph = 1.05 eV/f.u.; energy relative to the elements = 170 meV/atom; DOS(E_F) = 16.889 states/eV per cell
1.0
3.5680 0.0000 0.0000
0.0000 9.3400 0.0000
-1.7840 -4.6700 11.8782
La Sm Dy
5 2 4
direct
0.8537 0.0548 0.7074
0.8537 0.6526 0.7074
0.1463 0.3474 0.2926
0.1463 0.9452 0.2926
0.5000 0.0000 0.0000
0.2687 0.2687 0.5373
0.7313 0.7313 0.4627
0.0000 0.3147 0.0000
0.5962 0.5962 0.1925
0.0000 0.6853 0.0000
0.4038 0.4038 0.8075

Entry 3:
Dy12Pt3N5 PBE relaxed; uncorrected energy = -6.854 eV/atom; ΔE_f (raw) = -1.1055 eV per atom; DOS(E_F) = 50.605 states/eV per cell
1.0
-12.5084 1.5632 3.9255
1.3853 -11.8414 -5.6723
8.0290 0.8418 10.4470
N Pt Dy
20 12 48
direct
0.1250 0.3750 0.2500
0.0000 0.5000 0.0000
0.0000 0.0000 0.0000
0.3750 0.2500 0.1250
0.5000 0.0000 0.5000
0.5000 0.5000 0.0000
0.1250 0.7500 0.3750
0.7500 0.1250 0.8750
0.7500 0.6250 0.3750
0.3750 0.1250 0.7500
0.6250 0.8750 0.2500
0.5000 0.5000 0.5000
0.5000 0.0000 0.0000
0.0000 0.0000 0.5000
0.2500 0.3750 0.6250
0.2500 0.8750 0.1250
0.0000 0.5000 0.5000
0.8750 0.2500 0.6250
0.6250 0.7500 0.8750
0.8750 0.6250 0.7500
0.7500 0.3750 0.1250
0.8750 0.7500 0.1250
0.3750 0.7500 0.6250
0.2500 0.1250 0.3750
0.8750 0.1250 0.2500
0.3750 0.6250 0.2500
0.6250 0.3750 0.7500
0.1250 0.8750 0.7500
0.7500 0.8750 0.6250
0.6250 0.2500 0.3750
0.1250 0.2500 0.8750
0.2500 0.6250 0.8750
0.7044 0.1186 0.0216
0.3173 0.5216 0.4031
0.9784 0.3814 0.2956
0.5216 0.2044 0.1186
0.5858 0.7044 0.6827
0.9784 0.5969 0.1827
0.3173 0.7956 0.4142
0.0969 0.9142 0.1186
0.5969 0.9784 0.6827
0.7044 0.5858 0.1827
0.7956 0.4784 0.3814
0.8173 0.9031 0.0216
0.1186 0.7044 0.5216
0.3814 0.4031 0.0858
0.0858 0.9031 0.3814
0.4142 0.1186 0.5969
0.0858 0.1827 0.2044
0.4784 0.6827 0.0969
0.8173 0.9142 0.2956
0.1186 0.4142 0.0969
0.3814 0.9784 0.7956
0.5969 0.6186 0.4142
0.9031 0.8173 0.5216
0.7956 0.3173 0.9142
0.4031 0.3814 0.5858
0.0969 0.1827 0.4784
0.2044 0.6827 0.0858
0.1827 0.0858 0.7044
0.6186 0.0216 0.2044
0.8814 0.5858 0.9031
0.5216 0.3173 0.9031
0.5858 0.8814 0.4031
0.9142 0.8173 0.7956
0.9142 0.0969 0.6186
0.8814 0.2956 0.4784
0.1827 0.0969 0.9784
0.6186 0.5969 0.9142
0.4031 0.0216 0.3173
0.2956 0.4142 0.8173
0.2044 0.5216 0.6186
0.9031 0.0858 0.8814
0.6827 0.2044 0.5858
0.4784 0.7956 0.8814
0.0216 0.4031 0.8173
0.4142 0.2956 0.3173
0.0216 0.6186 0.7044
0.6827 0.4784 0.5969
0.2956 0.8814 0.9784

Entry 4:
Cs3PrNd2S6 PBE relaxed; uncorrected energy = -5.277 eV/atom; ΔE_f (raw) = -1.8074 eV per atom; DOS(E_F) = 0.000 states/eV per cell
1.0
7.3844 -0.0010 0.0004
-3.6913 6.3956 0.0004
-1.2313 -2.1320 8.1032
Cs Pr Nd S
3 1 2 6
direct
0.1666 0.8334 0.5000
0.8334 0.1666 0.5000
0.5000 0.5000 0.5000
0.0000 0.0000 0.0000
0.3333 0.6667 0.0000
0.6667 0.3333 0.0000
0.9377 0.6026 0.8130
0.7272 0.7272 0.1869
0.0623 0.3974 0.1870
0.6026 0.9377 0.8130
0.2728 0.2728 0.8131
0.3974 0.0623 0.1870

Entry 5:
Al3BrF PBE relaxed; uncorrected energy = -3.095 eV/atom; ΔE to the lowest computed polymorph = 0.00 eV/f.u.; ΔE_f (raw) = -0.1402 eV per atom; DOS(E_F) = 1.609 states/eV per cell
1.0
-0.8729 1.0712 4.6894
-3.9788 -2.8391 -0.0922
2.7031 -3.8330 1.3787
Al Br F
3 1 1
direct
0.0000 0.5000 0.0000
0.0000 0.0000 0.5000
0.5000 0.0000 0.0000
0.5000 0.5000 0.5000
0.0000 0.0000 0.0000

Entry 6:
ZrAl2Cl PBE relaxed; uncorrected energy = -4.729 eV/atom; ΔE to the lowest computed polymorph = 0.71 eV/f.u.; ΔE_f (raw) = -0.2587 eV per atom; DOS(E_F) = 1.810 states/eV per cell
1.0
5.7787 -0.0025 0.0211
4.9566 2.9708 0.0211
0.5428 0.1501 4.4595
Al Zr Cl
2 1 1
direct
0.0160 0.0160 0.9851
0.4840 0.4840 0.5149
0.7500 0.7500 0.7500
0.2500 0.2500 0.2500

Entry 7:
RbBaCeBr6 PBE relaxed; uncorrected energy = -4.030 eV/atom; ΔE_f (raw) = -1.9344 eV per atom; DOS(E_F) = 16.230 states/eV per cell
1.0
-5.2943 -6.1294 -0.9023
5.0783 1.9255 -6.0758
9.7207 -9.1648 5.2203
Rb Ba Ce Br
2 2 2 12
direct
0.0000 0.0000 0.0000
0.0000 0.0000 0.5000
0.3333 0.6667 0.2500
0.6667 0.3333 0.7500
0.6667 0.3333 0.2500
0.3333 0.6667 0.7500
0.6503 0.6211 0.1338
0.9707 0.3497 0.1338
0.3497 0.9707 0.6338
0.0293 0.6503 0.8662
0.3789 0.3497 0.3662
0.9707 0.6211 0.3662
0.6211 0.9707 0.8662
0.6503 0.0293 0.3662
0.0293 0.3789 0.6338
0.3789 0.0293 0.1338
0.6211 0.6503 0.6338
0.3497 0.3789 0.8662

Entry 8:
Li2LaZrS4 PBE relaxed; uncorrected energy = -5.849 eV/atom; ΔE_f (raw) = -1.6219 eV per atom; DOS(E_F) = 3.100 states/eV per cell
1.0
-2.3431 -2.6019 -1.5895
5.1846 -2.8873 -2.9166
2.5649 -4.8006 4.0771
Li La Zr S
2 1 1 4
direct
0.0000 0.0000 0.0000
0.5000 0.0000 0.5000
0.5000 0.5000 0.0000
0.0000 0.5000 0.5000
0.0000 0.7600 0.7199
0.0000 0.2400 0.2801
0.5000 0.7496 0.2690
0.5000 0.2505 0.7310